A relaxed structure of NaCaTlFe2. Source: Alexandria via LeMat-Bulk, functional PBE.

Unit cell a=4.989 b=5.494 c=4.989 alpha=90.00 beta=90.00 gamma=90.00
Positions (direct):
Ca (0.000, 0.000, 0.000)
Fe (0.000, 0.000, 0.500)
Fe (0.500, 0.000, 0.000)
Tl (0.500, 0.500, 0.500)
Na (0.000, 0.500, 0.000)

Calculated values
SG = P4/mmm (123)
Size of the total moment = 5.093 μB/f.u.
Calculated formation energy = 7.00 eV per formula unit